No. 1
## LaTaIO2 (GGA-PBE)

Data for a relaxed LaTaIO2 crystal.

```
LaTaIO2
1.0
4.1921 0.0000 0.0000
0.0000 4.1921 0.0000
0.0000 0.0000 5.6519
La Ta I O
1 1 1 2
Cartesian
0.0000 0.0000 0.0000 La
2.0960 2.0960 2.8260 Ta
2.0960 2.0960 0.0000 I
0.0000 2.0960 2.8260 O
2.0960 0.0000 2.8260 O
```

Density of states at the Fermi level ... 0.816 states/eV per atom
Raw formation energy ... -1323 meV/atom
Offset from the most stable computed form ... 0 meV per atom
Total magnetic moment ... 0.02 μB/f.u.
VASP energy ... -6.972 eV/atom

=====

No. 2
## LaTaIO2 (GGA-PBE)

Data for a relaxed LaTaIO2 crystal.

```
LaTaIO2
1.0
4.3865 0.0000 0.0000
0.0000 4.3865 0.0000
0.0000 0.0000 6.8372
La Ta I O
1 1 1 2
Cartesian
0.0000 0.0000 0.0000 La
2.1932 2.1932 3.4186 Ta
0.0000 0.0000 3.4186 I
0.0000 2.1932 0.0000 O
2.1932 0.0000 0.0000 O
```

Density of states at the Fermi level ... 1.713 states/eV per atom
Raw formation energy ... -384 meV/atom
Offset from the most stable computed form ... 939 meV per atom
Total magnetic moment ... 3.51 μB/f.u.
VASP energy ... -6.033 eV/atom

=====

No. 3
## LaTbIO6 (GGA-PBE)

Data for a relaxed LaTbIO6 crystal.

```
LaTbIO6
1.0
5.6997 0.0000 0.0000
-2.8498 4.9361 0.0000
0.0000 0.0000 10.0638
La Tb I O
2 2 2 12
Cartesian
0.0000 0.0000 0.0000 La
0.0000 0.0000 5.0319 La
0.0000 3.2907 2.5159 Tb
2.8498 1.6454 7.5478 Tb
0.0000 3.2907 7.5478 I
2.8498 1.6454 2.5159 I
-0.8580 1.8450 6.4265 O
-1.6811 3.2705 8.6692 O
0.8580 1.8450 8.6692 O
-0.8230 4.7566 6.4265 O
2.0268 0.1794 1.3946 O
1.1688 1.6655 3.6373 O
1.6811 3.2705 6.4265 O
0.8230 4.7566 8.6692 O
3.6729 0.1794 3.6373 O
1.9918 3.0911 1.3946 O
4.5309 1.6655 1.3946 O
3.7078 3.0911 3.6373 O
```

Density of states at the Fermi level ... 0.496 states/eV per atom
Raw formation energy ... -2056 meV/atom
Total magnetic moment ... 0.46 μB/f.u.
VASP energy ... -6.595 eV/atom

=====

No. 4
## LaTcIO2 (GGA-PBE)

Data for a relaxed LaTcIO2 crystal.

```
LaTcIO2
1.0
4.2101 0.0000 0.0000
0.0000 4.2101 0.0000
0.0000 0.0000 5.3097
La Tc I O
1 1 1 2
Cartesian
0.0000 0.0000 0.0000 La
2.1051 2.1051 2.6549 Tc
2.1051 2.1051 0.0000 I
0.0000 2.1051 2.6549 O
2.1051 0.0000 2.6549 O
```

Density of states at the Fermi level ... 0.897 states/eV per atom
Raw formation energy ... -791 meV/atom
Offset from the most stable computed form ... 0 meV per atom
Total magnetic moment ... 0.01 μB/f.u.
VASP energy ... -6.143 eV/atom

=====

No. 5
## LaTcIO2 (GGA-PBE)

Data for a relaxed LaTcIO2 crystal.

```
LaTcIO2
1.0
4.4110 0.0000 0.0000
0.0000 4.4110 0.0000
0.0000 0.0000 6.7749
La Tc I O
1 1 1 2
Cartesian
0.0000 0.0000 0.0000 La
2.2055 2.2055 3.3875 Tc
0.0000 0.0000 3.3875 I
0.0000 2.2055 0.0000 O
2.2055 0.0000 0.0000 O
```

Density of states at the Fermi level ... 0.952 states/eV per atom
Raw formation energy ... -576 meV/atom
Offset from the most stable computed form ... 215 meV per atom
Total magnetic moment ... 4.65 μB/f.u.
VASP energy ... -5.928 eV/atom

=====

No. 6
## LaTcIO4 (GGA-PBE)

Data for a relaxed LaTcIO4 crystal.

```
LaTcIO4
1.0
5.7788 -3.6733 0.0000
5.7788 3.6733 0.0000
-1.5777 0.0000 6.9521
La Tc I O
2 2 2 8
Cartesian
2.6893 0.0000 0.8976 La
7.2905 0.0000 6.0544 La
3.1314 0.0000 5.0685 Tc
6.8485 0.0000 1.8836 Tc
-1.0287 0.0000 5.2072 I
11.0085 0.0000 1.7449 I
2.2247 1.3181 6.0029 O
2.6860 0.0000 3.3611 O
5.1368 0.0000 1.4875 O
2.2247 -1.3181 6.0029 O
7.7552 1.3181 0.9492 O
4.8430 0.0000 5.4645 O
7.2939 0.0000 3.5910 O
7.7552 -1.3181 0.9492 O
```

Density of states at the Fermi level ... 0.328 states/eV per atom
Raw formation energy ... -1927 meV/atom
Total magnetic moment ... 1.24 μB/f.u.
VASP energy ... -7.167 eV/atom

=====

No. 7
## LaTcI2O (GGA-PBE)

Data for a relaxed LaTcI2O crystal.

```
LaTcI2O
1.0
6.5244 0.0000 0.0000
0.0000 6.5244 0.0000
0.0000 0.0000 4.2833
La Tc I O
1 1 2 1
Cartesian
0.0000 0.0000 0.0000 La
3.2622 3.2622 2.1417 Tc
0.0000 3.2622 0.0000 I
3.2622 0.0000 0.0000 I
0.0000 0.0000 2.1417 O
```

Density of states at the Fermi level ... 0.606 states/eV per atom
Raw formation energy ... -448 meV/atom
Offset from the most stable computed form ... 199 meV per atom
Total magnetic moment ... 4.77 μB/f.u.
VASP energy ... -5.118 eV/atom

=====

No. 8
## LaTcI2O (GGA-PBE)

Data for a relaxed LaTcI2O crystal.

```
LaTcI2O
1.0
5.7464 0.0000 0.0000
0.0000 5.7464 0.0000
0.0000 0.0000 3.8063
La Tc I O
1 1 2 1
Cartesian
0.0000 0.0000 0.0000 La
2.8732 2.8732 1.9032 Tc
0.0000 2.8732 1.9032 I
2.8732 0.0000 1.9032 I
2.8732 2.8732 0.0000 O
```

Density of states at the Fermi level ... 0.900 states/eV per atom
Raw formation energy ... -646 meV/atom
Offset from the most stable computed form ... 0 meV per atom
Total magnetic moment ... 0.00 μB/f.u.
VASP energy ... -5.317 eV/atom

=====

No. 9
## LaTeI2O (GGA-PBE)

Data for a relaxed LaTeI2O crystal.

```
LaTeI2O
1.0
6.1984 0.0000 0.0000
0.0000 6.1984 0.0000
0.0000 0.0000 6.4811
La Te I O
1 1 2 1
Cartesian
0.0000 0.0000 0.0000 La
0.0000 0.0000 3.2405 Te
0.0000 3.0992 0.0000 I
3.0992 0.0000 0.0000 I
3.0992 3.0992 3.2405 O
```

Density of states at the Fermi level ... 4.093 states/eV per atom
Raw formation energy ... 28 meV/atom
Offset from the most stable computed form ... 1071 meV per atom
Total magnetic moment ... 1.32 μB/f.u.
VASP energy ... -3.197 eV/atom

=====

No. 10
## LaTeI2O (GGA-PBE)

Data for a relaxed LaTeI2O crystal.

```
LaTeI2O
1.0
6.2725 0.0000 0.0000
0.0000 6.2725 0.0000
0.0000 0.0000 4.1038
La Te I O
1 1 2 1
Cartesian
0.0000 0.0000 0.0000 La
3.1362 3.1362 2.0519 Te
0.0000 3.1362 2.0519 I
3.1362 0.0000 2.0519 I
3.1362 3.1362 0.0000 O
```

Density of states at the Fermi level ... 1.130 states/eV per atom
Raw formation energy ... -444 meV/atom
Offset from the most stable computed form ... 598 meV per atom
Total magnetic moment ... 0.48 μB/f.u.
VASP energy ... -3.670 eV/atom

=====

No. 11
## LaTe2IO (GGA-PBE)

Data for a relaxed LaTe2IO crystal.

```
LaTe2IO
1.0
4.6536 0.0000 0.0000
0.0000 4.6536 0.0000
0.0000 0.0000 6.0476
La Te I O
1 2 1 1
Cartesian
0.0000 0.0000 0.0000 La
0.0000 2.3268 3.0238 Te
2.3268 0.0000 3.0238 Te
2.3268 2.3268 0.0000 I
2.3268 2.3268 3.0238 O
```

Density of states at the Fermi level ... 0.265 states/eV per atom
Raw formation energy ... -756 meV/atom
Offset from the most stable computed form ... 0 meV per atom
Total magnetic moment ... 0.00 μB/f.u.
VASP energy ... -4.300 eV/atom

=====

No. 12
## LaTe2IO (GGA-PBE)

Data for a relaxed LaTe2IO crystal.

```
LaTe2IO
1.0
6.3004 0.0000 0.0000
0.0000 6.3004 0.0000
0.0000 0.0000 6.2507
La Te I O
1 2 1 1
Cartesian
0.0000 0.0000 0.0000 La
0.0000 3.1502 0.0000 Te
3.1502 0.0000 0.0000 Te
0.0000 0.0000 3.1253 I
3.1502 3.1502 3.1253 O
```

Density of states at the Fermi level ... 1.893 states/eV per atom
Raw formation energy ... 120 meV/atom
Offset from the most stable computed form ... 876 meV per atom
Total magnetic moment ... 3.70 μB/f.u.
VASP energy ... -3.424 eV/atom

=====

No. 13
## LaTeI2O (GGA-PBE)

Data for a relaxed LaTeI2O crystal.

```
LaTeI2O
1.0
6.5557 0.0000 0.0000
0.0000 6.5557 0.0000
0.0000 0.0000 4.2537
La Te I O
1 1 2 1
Cartesian
0.0000 0.0000 0.0000 La
3.2779 3.2779 2.1269 Te
0.0000 3.2779 0.0000 I
3.2779 0.0000 0.0000 I
0.0000 0.0000 2.1269 O
```

Density of states at the Fermi level ... 0.954 states/eV per atom
Raw formation energy ... -1042 meV/atom
Offset from the most stable computed form ... 0 meV per atom
Total magnetic moment ... 0.65 μB/f.u.
VASP energy ... -4.268 eV/atom

=====

No. 14
## LaTeI2O (GGA-PBE)

Data for a relaxed LaTeI2O crystal.

```
LaTeI2O
1.0
5.4120 0.0000 0.0000
0.0000 5.4120 0.0000
0.0000 0.0000 4.5903
La Te I O
1 1 2 1
Cartesian
0.0000 0.0000 0.0000 La
2.7060 2.7060 0.0000 Te
0.0000 2.7060 2.2951 I
2.7060 0.0000 2.2951 I
2.7060 2.7060 2.2951 O
```

Density of states at the Fermi level ... 0.762 states/eV per atom
Raw formation energy ... -530 meV/atom
Offset from the most stable computed form ... 512 meV per atom
Total magnetic moment ... 0.00 μB/f.u.
VASP energy ... -3.756 eV/atom

=====

No. 15
## LaTiI2O (GGA-PBE)

Data for a relaxed LaTiI2O crystal.

```
LaTiI2O
1.0
6.4989 0.0000 0.0000
0.0000 6.4989 0.0000
0.0000 0.0000 4.2814
La Ti I O
1 1 2 1
Cartesian
0.0000 0.0000 0.0000 La
3.2495 3.2495 2.1407 Ti
0.0000 3.2495 0.0000 I
3.2495 0.0000 0.0000 I
0.0000 0.0000 2.1407 O
```

Density of states at the Fermi level ... 0.868 states/eV per atom
Raw formation energy ... -903 meV/atom
Offset from the most stable computed form ... 365 meV per atom
Total magnetic moment ... 2.96 μB/f.u.
VASP energy ... -5.079 eV/atom

=====

No. 16
## LaTiIO2 (GGA-PBE)

Data for a relaxed LaTiIO2 crystal.

```
LaTiIO2
1.0
4.4328 0.0000 0.0000
0.0000 4.4328 0.0000
0.0000 0.0000 6.6245
La Ti I O
1 1 1 2
Cartesian
0.0000 0.0000 0.0000 La
2.2164 2.2164 3.3122 Ti
0.0000 0.0000 3.3122 I
0.0000 2.2164 0.0000 O
2.2164 0.0000 0.0000 O
```

Density of states at the Fermi level ... 1.581 states/eV per atom
Raw formation energy ... -1049 meV/atom
Offset from the most stable computed form ... 512 meV per atom
Total magnetic moment ... 2.56 μB/f.u.
VASP energy ... -5.907 eV/atom

=====

No. 17
## LaTiIO2 (GGA-PBE)

Data for a relaxed LaTiIO2 crystal.

```
LaTiIO2
1.0
4.2066 0.0000 0.0000
0.0000 4.2066 0.0000
0.0000 0.0000 5.3580
La Ti I O
1 1 1 2
Cartesian
0.0000 0.0000 0.0000 La
2.1033 2.1033 2.6790 Ti
2.1033 2.1033 0.0000 I
0.0000 2.1033 2.6790 O
2.1033 0.0000 2.6790 O
```

Density of states at the Fermi level ... 0.736 states/eV per atom
Raw formation energy ... -1562 meV/atom
Offset from the most stable computed form ... 0 meV per atom
Total magnetic moment ... 0.83 μB/f.u.
VASP energy ... -6.419 eV/atom

=====

No. 18
## LaTiI2O (GGA-PBE)

Data for a relaxed LaTiI2O crystal.

```
LaTiI2O
1.0
5.8652 0.0000 0.0000
0.0000 5.8652 0.0000
0.0000 0.0000 3.7973
La Ti I O
1 1 2 1
Cartesian
0.0000 0.0000 0.0000 La
2.9326 2.9326 1.8987 Ti
0.0000 2.9326 1.8987 I
2.9326 0.0000 1.8987 I
2.9326 2.9326 0.0000 O
```

Density of states at the Fermi level ... 0.841 states/eV per atom
Raw formation energy ... -1268 meV/atom
Offset from the most stable computed form ... 0 meV per atom
Total magnetic moment ... 0.93 μB/f.u.
VASP energy ... -5.444 eV/atom

=====

No. 19
## LaTlI2O8 (GGA-PBE)

Data for a relaxed LaTlI2O8 crystal.

```
LaTlI2O8
1.0
3.0888 1.7833 7.3738
-3.0888 1.7833 7.3738
0.0000 -3.5666 7.3738
La Tl I O
1 1 2 8
Cartesian
0.0000 0.0000 0.0000 La
0.0000 0.0000 11.0607 Tl
0.0000 0.0000 5.7522 I
0.0000 0.0000 16.3693 I
-2.2553 -0.0858 8.6816 O
0.0000 0.0000 3.9632 O
-1.0533 -1.9960 13.4399 O
1.2019 -1.9102 8.6816 O
-1.2019 1.9102 13.4399 O
1.0533 1.9960 8.6816 O
0.0000 0.0000 18.1583 O
2.2553 0.0858 13.4399 O
```

Raw formation energy ... -863 meV/atom
Total magnetic moment ... 2.01 μB/f.u.
VASP energy ... -5.035 eV/atom

=====

No. 20
## LaTlIO2 (GGA-PBE)

Data for a relaxed LaTlIO2 crystal.

```
LaTlIO2
1.0
4.6114 0.0000 0.0000
0.0000 4.6114 0.0000
0.0000 0.0000 6.8472
La Tl I O
1 1 1 2
Cartesian
0.0000 0.0000 0.0000 La
2.3057 2.3057 3.4236 Tl
0.0000 0.0000 3.4236 I
0.0000 2.3057 0.0000 O
2.3057 0.0000 0.0000 O
```

Density of states at the Fermi level ... 0.824 states/eV per atom
Raw formation energy ... -1478 meV/atom
Offset from the most stable computed form ... 0 meV per atom
Total magnetic moment ... 0.00 μB/f.u.
VASP energy ... -5.230 eV/atom